A relaxed CdCu2F crystal. Source: the Alexandria database, functional PBE.

Unit cell a=6.1653 b=6.1653 c=6.1653 alpha=90.00 beta=90.00 gamma=90.00
Space group Fm-3m (No. 225)
Unique sites:
Cd (0.0000, 0.0000, 0.0000)
Cu (0.2500, 0.2500, 0.2500)
F (0.0000, 0.0000, 0.5000)

Calculated values
* crystal system: cubic
* uncorrected energy: -45.76 eV per cell
* E above lowest polymorph: 0.230 eV/atom
* V: 14.647 Å³/atom
* total magnetic moment: 0.00 μB per formula unit
* E_form (uncorrected): -0.1154 eV/atom